# PBE-GGA In2MoIrS, relaxed
data_In2MoIrS
_chemical_formula_sum 'In2 Mo1 Ir1 S1'
_space_group_name_H-M_alt 'P 4/m m m'
_space_group_IT_number 123
_space_group_name_Hall '-P 4 2'
_cell_length_a 4.947
_cell_length_b 4.947
_cell_length_c 4.329
_cell_angle_alpha 90.00
_cell_angle_beta 90.00
_cell_angle_gamma 90.00
loop_
_atom_site_label
_atom_site_fract_x
_atom_site_fract_y
_atom_site_fract_z
In1 0.000 0.500 0.000
Mo1 0.000 0.000 0.500
Ir1 0.500 0.500 0.500
S1 0.000 0.000 0.000
# E_tot   -4.862 eV per atom
# Formation energy from raw total energies   0.998 eV/atom